Record 1
# BaBiAu2

A relaxed BaBiAu2 crystal (PBE, Alexandria via LeMat-Bulk).

Structure (extended XYZ):
```
8
Lattice="-2.4085 -4.4091 1.8944 4.4447 -2.8487 -0.9794 4.4449 -1.4908 9.7903" Properties=species:S:1:pos:R:3 pbc="T T T"
Au -0.4382 -4.5823 3.9809
Au 1.7793 -6.0156 3.4950
Au 2.9906 -3.1305 7.9297
Au 1.7774 -5.3293 8.8789
Bi 0.0000 0.0000 0.0000
Bi 1.5273 -4.7644 6.0711
Ba 1.0181 -3.6289 0.4575
Ba 4.9538 -3.9842 4.6342
```

energy relative to the elements	-0.4095	eV per atom
calculated total energy	-0.257	Ry/atom
magnetic moment	0.0	μB/f.u.
N(E_F)	0.36	states/eV per atom

Record 2
# Nb2HIrRh

A relaxed Nb2HIrRh crystal (PBE, Alexandria via LeMat-Bulk).

Structure (extended XYZ):
```
5
Lattice="4.0983 0.0000 0.0000 0.0000 4.0983 0.0000 0.0000 0.0000 3.9477" Properties=species:S:1:pos:R:3 pbc="T T T"
H 0.0000 0.0000 0.0000
Nb 0.0000 2.0492 0.0000
Nb 2.0492 0.0000 0.0000
Ir 2.0492 2.0492 1.9738
Rh 0.0000 0.0000 1.9738
```

calculated total energy	-0.614	Ry/atom
energy above the lowest structure with this stoichiometry	0.00	eV per formula unit
magnetic moment	0.0	μB/f.u.
N(E_F)	0.48	states/eV per atom

Record 3
# TaCd2Ag

A relaxed TaCd2Ag crystal (PBE, Alexandria via LeMat-Bulk).

Structure (extended XYZ):
```
4
Lattice="-1.0674 2.7199 -0.2297 -1.3769 -0.7468 -2.4772 -7.1469 -2.4079 4.6982" Properties=species:S:1:pos:R:3 pbc="T T T"
Cd -7.1245 -2.4003 4.6834
Cd -3.5959 -1.2115 2.3639
Ag -6.5823 -0.8193 2.1702
Ta -3.0088 0.3846 -0.1789
```

energy relative to the elements	0.1497	eV per atom
calculated total energy	-0.293	Ry/atom
energy above the lowest structure with this stoichiometry	0.00	eV per formula unit
magnetic moment	0.0	μB/f.u.
N(E_F)	0.60	states/eV per atom

Record 4
# AcTm3Tl3

A relaxed AcTm3Tl3 crystal (PBE, Alexandria via LeMat-Bulk).

Structure (extended XYZ):
```
14
Lattice="-1.1166 1.9326 -4.8008 -4.7817 -8.0468 -2.1271 -4.6007 7.3899 4.0450" Properties=species:S:1:pos:R:3 pbc="T T T"
Ac -5.0005 -2.4181 -1.2700
Ac -5.4985 3.6938 -1.6130
Tm -7.5524 -0.0030 0.2958
Tm -5.9338 6.0544 2.3578
Tm -1.3344 2.1312 -0.2913
Tm -2.9466 1.2788 -3.1787
Tm -4.5653 -4.7786 -5.2407
Tm -9.1647 -0.8554 -2.5916
Tl -6.4114 0.5240 -2.6767
Tl -3.2669 -1.5886 -4.2585
Tl -6.9982 -3.2906 -4.0758
Tl -4.0876 0.7518 -0.2062
Tl -7.2322 2.8643 1.3756
Tl -3.5008 4.5664 1.1929
```

energy relative to the elements	-0.2367	eV per atom
calculated total energy	-0.276	Ry/atom
magnetic moment	0.0	μB/f.u.
N(E_F)	0.95	states/eV per atom